A geometry-optimized KSr2Li structure. Source: Alexandria, functional PBE.

**Energy relative to the elements**: 13.5 kJ/mol of atoms
**Symmetry**: No. 166

Lattice parameters (Å, degrees): 13.4756 13.4756 13.4756 18.04 18.04 18.04
Sites, in units of the cell vectors:
K: 0.2500 0.2500 0.2500
Li: 0.7500 0.7500 0.7500
Sr: 0.0132 0.0132 0.0132
Sr: 0.4868 0.4868 0.4868